Hg2GeOsAu | SCAN | PBEsol geometry

Values from the calculation:
Size of the total moment in μB/f.u.: 0.9
V in Å³/atom: 24.7
Space-group type: P4/mmm
VASP energy in eV for the cell shown: -292.82
Mass density in g/cm3: 11.596
E_form in eV/atom: 0.73

Cell: 5.173 5.173 4.607 Å, 90.00 90.00 90.00°
Fractional positions:
Hg 0.000 0.500 0.000
Hg 0.500 0.000 0.000
Ge 0.000 0.000 0.500
Os 0.000 0.000 0.000
Au 0.500 0.500 0.500